1.
Density functional theory data (PBE) for a relaxed structure of Ce8Ni18P11.

a b c (Å): 18.1659 18.1659 3.8776
angles (deg): 90.00 90.00 120.00
Space group P-6m2 (No. 187)
Inequivalent atoms, fractional coordinates:
Ce 0.0000 0.0000 0.0000 x1
Ce 0.0007 0.2182 0.0000 x6
Ce 0.0477 0.5238 0.5000 x3
Ce 0.2601 0.5203 0.5000 x3
Ce 0.4447 0.2224 0.0000 x3
Ni 0.0729 0.1458 0.5000 x3
Ni 0.0769 0.3695 0.5000 x6
Ni 0.1845 0.3690 0.0000 x3
Ni 0.1883 0.5941 0.0000 x3
Ni 0.2903 0.1452 0.5000 x3
Ni 0.4007 0.0304 0.0000 x6
Ni 0.4992 0.1308 0.5000 x6
Ni 0.5777 0.2889 0.5000 x3
Ni 0.6154 0.2309 0.0000 x3
P 0.1172 0.4489 0.0000 x6
P 0.1447 0.0724 0.5000 x3
P 0.1451 0.2902 0.5000 x3
P 0.3333 0.6667 0.0000 x1
P 0.3590 0.0706 0.5000 x6
P 0.5465 0.0930 0.0000 x3

Results
The formation energy comes out at -0.964 eV/atom. As for the density of states at the Fermi level: 75.35 states/eV per cell. For the total energy, the calculation gives -6.668 eV per atom.

2.
Density functional theory data (PBE) for a relaxed structure of CeNi3P3.

a b c (Å): 6.116 6.116 6.116
angles (deg): 90.00 90.00 90.00
Space group Pm-3n (No. 223)
Inequivalent atoms, fractional coordinates:
Ce 0.000 0.000 0.000 x2
Ni 0.000 0.250 0.500 x6
P 0.000 0.500 0.250 x6

Results
The energy above the most stable polymorph in this dataset comes out at 0.0503 eV per atom. The formation energy comes out at -0.685 eV/atom. As for the density of states at the Fermi level: 13.93 states/eV per cell. For the total energy, the calculation gives -6.329 eV per atom.